12
Lattice="3.1498 -5.4560 0.0000 3.1498 5.4560 0.0000 -2.0874 0.0000 11.7976" Properties=species:S:1:pos:R:3 comment="CaPm6Nd2Er3 | Alexandria | PBE-GGA | optimized geometry" formation_energy_ev_per_atom=0.031 total_energy_ev_per_atom=-4.45 magnetic_moment_mub_per_cell=0.0 pbc="T T T"
Ca 0.0000 0.0000 0.0000
Pm 1.0723 1.8442 3.0325
Pm 0.0342 0.0000 8.7564
Pm 1.0723 -1.8442 3.0325
Pm 3.1399 1.8442 8.7651
Pm 4.1781 0.0000 3.0411
Pm 3.1399 -1.8442 8.7651
Nd 3.1498 1.8210 0.0000
Nd 3.1498 -1.8210 0.0000
Er 2.1061 3.6452 5.8988
Er 2.1061 0.0000 5.8988
Er 2.1061 -3.6452 5.8988

---

12
Lattice="3.1714 -5.4940 0.0000 3.1714 5.4940 0.0000 -2.1012 0.0000 11.8287" Properties=species:S:1:pos:R:3 comment="CaPm6Nd3Er2 | Alexandria | PBE-GGA | optimized geometry" formation_energy_ev_per_atom=0.042 total_energy_ev_per_atom=-4.45 magnetic_moment_mub_per_cell=0.0 pbc="T T T"
Ca 0.0000 0.0000 0.0000
Pm 1.0907 1.8746 2.9358
Pm 0.0546 0.0000 8.8878
Pm 1.0907 -1.8746 2.9358
Pm 3.1509 1.8746 8.8929
Pm 4.1870 0.0000 2.9409
Pm 3.1509 -1.8746 8.8929
Nd 2.1208 3.6665 5.9143
Nd 2.1208 0.0000 5.9143
Nd 2.1208 -3.6665 5.9143
Er 3.1714 1.8320 0.0000
Er 3.1714 -1.8320 0.0000

---

20
Lattice="4.6454 -7.7383 0.0000 4.6454 7.7383 0.0000 -1.3701 0.0000 9.8204" Properties=species:S:1:pos:R:3 comment="CaPrNd6Er2 | Alexandria | PBE-GGA | optimized geometry" formation_energy_ev_per_atom=0.131 total_energy_ev_per_atom=-4.32 magnetic_moment_mub_per_cell=0.0 pbc="T T T"
Ca 3.6178 6.2321 7.3653
Ca 4.3029 -6.2321 2.4551
Pr 4.3029 0.4424 2.4551
Pr 3.6178 -0.4424 7.3653
Nd 3.1960 6.0773 3.7225
Nd 2.4956 3.5666 1.7327
Nd 5.4097 6.0773 1.1877
Nd 3.2907 2.7079 5.4252
Nd 3.9449 2.7079 9.3054
Nd 6.1101 3.5666 3.1775
Nd 1.8105 -3.5666 6.6429
Nd 3.9757 -2.7079 0.5150
Nd 4.6300 -2.7079 4.3952
Nd 2.5109 -6.0773 8.6327
Nd 5.4250 -3.5666 8.0877
Nd 4.7246 -6.0773 6.0979
Er 1.0270 0.7741 9.3686
Er 1.7120 -0.7741 4.4584
Er 6.2086 0.7741 5.3620
Er 6.8937 -0.7741 0.4518

---

4
Lattice="3.6719 0.0000 0.0000 0.0000 3.6719 0.0000 0.0000 0.0000 10.5262" Properties=species:S:1:pos:R:3 comment="CaPrNdEr | Alexandria | PBE-GGA | optimized geometry" formation_energy_ev_per_atom=0.042 total_energy_ev_per_atom=-3.99 magnetic_moment_mub_per_cell=0.0 de_polymorph_mev_per_atom=0 pbc="T T T"
Ca 0.0000 0.0000 0.0000
Pr 1.8359 1.8359 2.8177
Nd 1.8359 1.8359 7.7328
Er 0.0000 0.0000 5.2908